TbSi2Tc, optimized geometry, DFT PBE; Fermi-level density of states = 0.74 states/eV/atom; final energy = -28.216 eV/f.u.
1.0
4.1246 0.0000 0.0000
2.0623 3.5720 0.0000
2.0623 1.1907 4.9090
Tc Si Tb
1 2 1
Cartesian
0.0000 0.0000 0.0000
2.0623 1.1907 0.6645
6.1868 3.5720 4.2444
4.1246 2.3813 2.4545